Material: RbMnPtF6
Method: DFT, PBE with a Hubbard U
State: optimized geometry

Its space group is No. 1. Its final energy is -43.76 eV/cell. As for the density of states at the Fermi level: 3.4 states/eV per cell.

a = 6.2634 Å, b = 5.5597 Å, c = 5.9011 Å
α = 88.51°, β = 86.80°, γ = 57.56°
Last column: nearest neighbours and their distance in Å.
Atoms (fractional coordinates):
Rb 0.0208 0.9571 0.0000  6 F 2.76-2.91
Mn 0.6657 0.6642 0.5023  4 F 1.82-1.98
Pt 0.3379 0.3245 0.4965  4 F 2.00-2.06
F 0.8829 0.4091 0.2859  1 Mn 1.82
F 0.3724 0.9826 0.6733  1 Mn 1.98, 1 Pt 2.06
F 0.7018 0.4137 0.7258  1 Mn 1.83
F 0.0132 0.6305 0.6496  1 Pt 2.00
F 0.3608 0.6330 0.3376  1 Pt 2.00
F 0.6443 0.9854 0.3289  1 Mn 1.98, 1 Pt 2.05